(1)
# Mo3Os (GGA-PBE, optimized geometry)
# - Formation enthalpy at 0 K: 0.198 eV/atom
# - Energy above the most stable polymorph in this dataset: 0.788 eV per formula unit
# - N(E_F): 18.74 states/eV/cell
# - Calculated volume: 15.5 A^3/atom
data_Mo3Os
_cell_length_a 5.6074
_cell_length_b 5.6074
_cell_length_c 9.1270
_cell_angle_alpha 90.00
_cell_angle_beta 90.00
_cell_angle_gamma 120.00
_symmetry_space_group_name_H-M 'P 63/m m c'
_symmetry_Int_Tables_number 194
_symmetry_space_group_name_Hall '-P 6c 2c'
loop_
_atom_site_label
_atom_site_fract_x
_atom_site_fract_y
_atom_site_fract_z
Mo1 0.0000 0.5000 0.0000
Mo2 0.1658 0.3317 0.2500
Os1 0.0000 0.0000 0.0000
Os2 0.3333 0.6667 0.7500


(2)
# Na2Hg3Sb2 (GGA-PBE, optimized geometry)
# - Formation energy (no corrections): -124 meV per atom
# - Energy above the most stable polymorph in this dataset: 0.253 eV per formula unit
# - N(E_F): 4.90 states/eV/cell
# - Calculated volume: 29.2 A^3/atom
data_Na2Hg3Sb2
_cell_length_a 5.746
_cell_length_b 8.581
_cell_length_c 8.648
_cell_angle_alpha 90.00
_cell_angle_beta 106.35
_cell_angle_gamma 90.00
_symmetry_space_group_name_H-M 'P 1 21/c 1'
_symmetry_Int_Tables_number 14
_symmetry_space_group_name_Hall '-P 2ybc'
loop_
_atom_site_label
_atom_site_fract_x
_atom_site_fract_y
_atom_site_fract_z
Na1 0.167 0.220 0.119
Hg1 0.262 0.516 0.352
Hg2 0.500 0.000 0.500
Sb1 0.287 0.657 0.711


(3)
# GeRhAu2 (GGA-PBE, optimized geometry)
# - Formation enthalpy at 0 K: 0.359 eV/atom
# - N(E_F): 9.48 states/eV/cell
# - Calculated volume: 18.1 A^3/atom
data_GeRhAu2
_cell_length_a 2.8187
_cell_length_b 2.8187
_cell_length_c 31.4865
_cell_angle_alpha 90.00
_cell_angle_beta 90.00
_cell_angle_gamma 120.00
_symmetry_space_group_name_H-M 'R -3 m'
_symmetry_Int_Tables_number 166
_symmetry_space_group_name_Hall '-R 3 2"'
loop_
_atom_site_label
_atom_site_fract_x
_atom_site_fract_y
_atom_site_fract_z
Ge1 0.0000 0.0000 0.0000
Rh1 0.0000 0.0000 0.5000
Au1 0.0000 0.0000 0.4135


(4)
# Cs6Tl3Pt (GGA-PBE, optimized geometry)
# - Formation enthalpy at 0 K: -0.022 eV/atom
# - N(E_F): 14.42 states/eV/cell
# - Calculated volume: 50.3 A^3/atom
data_Cs6Tl3Pt
_cell_length_a 10.884
_cell_length_b 7.916
_cell_length_c 15.584
_cell_angle_alpha 90.00
_cell_angle_beta 131.52
_cell_angle_gamma 90.00
_symmetry_space_group_name_H-M 'P 1 21/c 1'
_symmetry_Int_Tables_number 14
_symmetry_space_group_name_Hall '-P 2ybc'
loop_
_atom_site_label
_atom_site_fract_x
_atom_site_fract_y
_atom_site_fract_z
Cs1 0.080 0.243 0.354
Cs2 0.212 0.130 0.157
Cs3 0.383 0.586 0.318
Tl1 0.239 0.673 0.010
Tl2 0.500 0.000 0.500
Pt1 0.000 0.000 0.500


(5)
# In2ReSi (GGA-PBE, optimized geometry)
# - Formation energy (no corrections): 725 meV per atom
# - N(E_F): 5.89 states/eV/cell
# - Calculated volume: 19.2 A^3/atom
data_In2ReSi
_cell_length_a 3.101
_cell_length_b 4.957
_cell_length_c 9.988
_cell_angle_alpha 90.00
_cell_angle_beta 90.00
_cell_angle_gamma 90.00
_symmetry_space_group_name_H-M 'C m m m'
_symmetry_Int_Tables_number 65
_symmetry_space_group_name_Hall '-C 2 2'
loop_
_atom_site_label
_atom_site_fract_x
_atom_site_fract_y
_atom_site_fract_z
In1 0.000 0.000 0.239
Re1 0.000 0.500 0.000
Si1 0.000 0.500 0.500


(6)
# HoTm2Pt2 (GGA-PBE, optimized geometry)
# - Formation enthalpy at 0 K: -1.040 eV/atom
# - Energy above the most stable polymorph in this dataset: 0.000 eV per formula unit
# - N(E_F): 15.07 states/eV/cell
# - Calculated volume: 23.5 A^3/atom
data_HoTm2Pt2
_cell_length_a 3.735
_cell_length_b 27.332
_cell_length_c 4.595
_cell_angle_alpha 90.00
_cell_angle_beta 90.00
_cell_angle_gamma 90.00
_symmetry_space_group_name_H-M 'C m c m'
_symmetry_Int_Tables_number 63
_symmetry_space_group_name_Hall '-C 2c 2'
loop_
_atom_site_label
_atom_site_fract_x
_atom_site_fract_y
_atom_site_fract_z
Ho1 0.000 0.136 0.250
Tm1 0.000 0.232 0.750
Tm2 0.000 0.449 0.250
Pt1 0.000 0.033 0.250
Pt2 0.000 0.343 0.250


(7)
# PuNpZnTc (GGA-PBE, optimized geometry)
# - Formation enthalpy at 0 K: 0.082 eV/atom
# - N(E_F): 33.46 states/eV/cell
# - Calculated volume: 17.9 A^3/atom
data_PuNpZnTc
_cell_length_a 6.595
_cell_length_b 6.595
_cell_length_c 6.595
_cell_angle_alpha 90.00
_cell_angle_beta 90.00
_cell_angle_gamma 90.00
_symmetry_space_group_name_H-M 'F -4 3 m'
_symmetry_Int_Tables_number 216
_symmetry_space_group_name_Hall 'F -4 2 3'
loop_
_atom_site_label
_atom_site_fract_x
_atom_site_fract_y
_atom_site_fract_z
Pu1 0.000 0.000 0.000
Np1 0.250 0.250 0.250
Zn1 0.250 0.250 0.750
Tc1 0.000 0.000 0.500


(8)
# Co5Si3 (GGA-PBE, optimized geometry)
# - Formation energy (no corrections): -430 meV per atom
# - N(E_F): 18.70 states/eV/cell
# - Calculated volume: 11.1 A^3/atom
data_Co5Si3
_cell_length_a 6.5854
_cell_length_b 6.5854
_cell_length_c 4.7225
_cell_angle_alpha 90.00
_cell_angle_beta 90.00
_cell_angle_gamma 120.00
_symmetry_space_group_name_H-M 'P 63/m c m'
_symmetry_Int_Tables_number 193
_symmetry_space_group_name_Hall '-P 6c 2'
loop_
_atom_site_label
_atom_site_fract_x
_atom_site_fract_y
_atom_site_fract_z
Co1 0.0000 0.2489 0.2500
Co2 0.3333 0.6667 0.0000
Si1 0.0000 0.3952 0.7500


(9)
# ZnH2O2 (GGA-PBE, optimized geometry)
# - E_tot: -95.99 eV per cell
# - N(E_F): 0.00 states/eV/cell
# - Calculated volume: 10.8 A^3/atom
data_ZnH2O2
_cell_length_a 4.874
_cell_length_b 5.089
_cell_length_c 8.671
_cell_angle_alpha 90.00
_cell_angle_beta 90.00
_cell_angle_gamma 90.00
_symmetry_space_group_name_H-M 'P 21 21 21'
_symmetry_Int_Tables_number 19
_symmetry_space_group_name_Hall 'P 2ac 2ab'
loop_
_atom_site_label
_atom_site_fract_x
_atom_site_fract_y
_atom_site_fract_z
Zn1 0.072 0.145 0.377
H1 0.035 0.139 0.657
H2 0.245 0.324 0.844
O1 0.115 0.612 0.920
O2 0.184 0.816 0.273


(10)
# Y2IBr (GGA-PBE, optimized geometry)
# - Formation energy (no corrections): -621 meV per atom
# - Energy above the most stable polymorph in this dataset: 0.199 eV per formula unit
# - N(E_F): 13.95 states/eV/cell
# - Calculated volume: 33.0 A^3/atom
data_Y2IBr
_cell_length_a 5.147
_cell_length_b 5.147
_cell_length_c 19.930
_cell_angle_alpha 90.00
_cell_angle_beta 90.00
_cell_angle_gamma 90.00
_symmetry_space_group_name_H-M 'I -4 2 d'
_symmetry_Int_Tables_number 122
_symmetry_space_group_name_Hall 'I -4 2bw'
loop_
_atom_site_label
_atom_site_fract_x
_atom_site_fract_y
_atom_site_fract_z
Y1 0.240 0.250 0.125
I1 0.000 0.000 0.500
Br1 0.000 0.000 0.000


(11)
# LiRh3 (GGA-PBE, optimized geometry)
# - Formation enthalpy at 0 K: 0.091 eV/atom
# - N(E_F): 27.00 states/eV/cell
# - Calculated volume: 13.8 A^3/atom
data_LiRh3
_cell_length_a 6.043
_cell_length_b 6.043
_cell_length_c 6.043
_cell_angle_alpha 90.00
_cell_angle_beta 90.00
_cell_angle_gamma 90.00
_symmetry_space_group_name_H-M 'F m -3 m'
_symmetry_Int_Tables_number 225
_symmetry_space_group_name_Hall '-F 4 2 3'
loop_
_atom_site_label
_atom_site_fract_x
_atom_site_fract_y
_atom_site_fract_z
Li1 0.000 0.000 0.000
Rh1 0.000 0.000 0.500
Rh2 0.250 0.250 0.250


(12)
# KHfTl2F (GGA-PBE, optimized geometry)
# - Formation energy (no corrections): -685 meV per atom
# - N(E_F): 3.09 states/eV/cell
# - Calculated volume: 29.7 A^3/atom
data_KHfTl2F
_cell_length_a 6.004
_cell_length_b 6.004
_cell_length_c 4.113
_cell_angle_alpha 90.00
_cell_angle_beta 90.00
_cell_angle_gamma 90.00
_symmetry_space_group_name_H-M 'P 4/m m m'
_symmetry_Int_Tables_number 123
_symmetry_space_group_name_Hall '-P 4 2'
loop_
_atom_site_label
_atom_site_fract_x
_atom_site_fract_y
_atom_site_fract_z
K1 0.000 0.000 0.000
Hf1 0.500 0.500 0.500
Tl1 0.000 0.500 0.500
F1 0.500 0.500 0.000


(13)
# La3Si2Ni (GGA-PBE, optimized geometry)
# - Formation energy (no corrections): -656 meV per atom
# - N(E_F): 21.16 states/eV/cell
# - Calculated volume: 25.4 A^3/atom
data_La3Si2Ni
_cell_length_a 11.949
_cell_length_b 4.313
_cell_length_c 11.809
_cell_angle_alpha 90.00
_cell_angle_beta 90.00
_cell_angle_gamma 90.00
_symmetry_space_group_name_H-M 'P n m a'
_symmetry_Int_Tables_number 62
_symmetry_space_group_name_Hall '-P 2ac 2n'
loop_
_atom_site_label
_atom_site_fract_x
_atom_site_fract_y
_atom_site_fract_z
La1 0.060 0.250 0.122
La2 0.115 0.750 0.557
La3 0.213 0.250 0.803
Si1 0.031 0.750 0.312
Si2 0.203 0.750 0.990
Ni1 0.128 0.250 0.364


(14)
# TaInAu2 (GGA-PBE, optimized geometry)
# - Formation enthalpy at 0 K: 0.046 eV/atom
# - N(E_F): 2.23 states/eV/cell
# - Calculated volume: 19.1 A^3/atom
data_TaInAu2
_cell_length_a 3.002
_cell_length_b 4.032
_cell_length_c 6.302
_cell_angle_alpha 90.00
_cell_angle_beta 90.00
_cell_angle_gamma 90.00
_symmetry_space_group_name_H-M 'P m m m'
_symmetry_Int_Tables_number 47
_symmetry_space_group_name_Hall '-P 2 2'
loop_
_atom_site_label
_atom_site_fract_x
_atom_site_fract_y
_atom_site_fract_z
Ta1 0.000 0.000 0.000
In1 0.000 0.000 0.500
Au1 0.500 0.500 0.231


(15)
# HoCuPd (GGA-PBE, optimized geometry)
# - Formation enthalpy at 0 K: -0.579 eV/atom
# - Energy above the most stable polymorph in this dataset: 0.106 eV per formula unit
# - N(E_F): 1.47 states/eV/cell
# - Calculated volume: 19.2 A^3/atom
data_HoCuPd
_cell_length_a 4.3490
_cell_length_b 4.3490
_cell_length_c 3.5254
_cell_angle_alpha 90.00
_cell_angle_beta 90.00
_cell_angle_gamma 120.00
_symmetry_space_group_name_H-M 'P -6 m 2'
_symmetry_Int_Tables_number 187
_symmetry_space_group_name_Hall 'P -6 2'
loop_
_atom_site_label
_atom_site_fract_x
_atom_site_fract_y
_atom_site_fract_z
Ho1 0.0000 0.0000 0.0000
Cu1 0.3333 0.6667 0.5000
Pd1 0.6667 0.3333 0.5000


(16)
# GeMo (GGA-PBE, optimized geometry)
# - Formation enthalpy at 0 K: 0.158 eV/atom
# - N(E_F): 10.42 states/eV/cell
# - Calculated volume: 16.2 A^3/atom
data_GeMo
_cell_length_a 4.280
_cell_length_b 14.371
_cell_length_c 3.154
_cell_angle_alpha 90.00
_cell_angle_beta 90.00
_cell_angle_gamma 90.00
_symmetry_space_group_name_H-M 'C m m m'
_symmetry_Int_Tables_number 65
_symmetry_space_group_name_Hall '-C 2 2'
loop_
_atom_site_label
_atom_site_fract_x
_atom_site_fract_y
_atom_site_fract_z
Ge1 0.000 0.000 0.000
Ge2 0.000 0.317 0.500
Mo1 0.000 0.172 0.000
Mo2 0.000 0.500 0.500


(17)
# NbHg2AuF (GGA-PBE, optimized geometry)
# - Formation energy (no corrections): 463 meV per atom
# - N(E_F): 4.62 states/eV/cell
# - Calculated volume: 21.3 A^3/atom
data_NbHg2AuF
_cell_length_a 5.003
_cell_length_b 5.003
_cell_length_c 4.264
_cell_angle_alpha 90.00
_cell_angle_beta 90.00
_cell_angle_gamma 90.00
_symmetry_space_group_name_H-M 'P 4/m m m'
_symmetry_Int_Tables_number 123
_symmetry_space_group_name_Hall '-P 4 2'
loop_
_atom_site_label
_atom_site_fract_x
_atom_site_fract_y
_atom_site_fract_z
Nb1 0.000 0.000 0.000
Hg1 0.000 0.500 0.500
Au1 0.500 0.500 0.000
F1 0.500 0.500 0.500


(18)
# Tl2W2Br (GGA-PBE, optimized geometry)
# - Formation energy (no corrections): 1491 meV per atom
# - Energy above the most stable polymorph in this dataset: 2.598 eV per formula unit
# - N(E_F): 8.33 states/eV/cell
# - Calculated volume: 24.3 A^3/atom
data_Tl2W2Br
_cell_length_a 4.434
_cell_length_b 4.434
_cell_length_c 12.369
_cell_angle_alpha 90.00
_cell_angle_beta 90.00
_cell_angle_gamma 90.00
_symmetry_space_group_name_H-M 'I 4/m m m'
_symmetry_Int_Tables_number 139
_symmetry_space_group_name_Hall '-I 4 2'
loop_
_atom_site_label
_atom_site_fract_x
_atom_site_fract_y
_atom_site_fract_z
Tl1 0.000 0.500 0.250
W1 0.000 0.000 0.093
Br1 0.000 0.000 0.500


(19)
# Dy7YTm2 (GGA-PBE, optimized geometry)
# - Formation enthalpy at 0 K: 0.695 eV/atom
# - Energy above the most stable polymorph in this dataset: 6.759 eV per formula unit
# - N(E_F): 27.99 states/eV/cell
# - Calculated volume: 38.9 A^3/atom
data_Dy7YTm2
_cell_length_a 8.697
_cell_length_b 16.484
_cell_length_c 5.426
_cell_angle_alpha 90.00
_cell_angle_beta 90.00
_cell_angle_gamma 90.00
_symmetry_space_group_name_H-M 'C m m m'
_symmetry_Int_Tables_number 65
_symmetry_space_group_name_Hall '-C 2 2'
loop_
_atom_site_label
_atom_site_fract_x
_atom_site_fract_y
_atom_site_fract_z
Dy1 0.000 0.000 0.000
Dy2 0.000 0.294 0.500
Dy3 0.177 0.387 0.000
Y1 0.000 0.500 0.500
Tm1 0.000 0.203 0.000


(20)
# LaBi2Br (GGA-PBE, optimized geometry)
# - Formation energy (no corrections): -711 meV per atom
# - Energy above the most stable polymorph in this dataset: 0.000 eV per formula unit
# - N(E_F): 0.84 states/eV/cell
# - Calculated volume: 33.5 A^3/atom
data_LaBi2Br
_cell_length_a 4.572
_cell_length_b 4.572
_cell_length_c 25.611
_cell_angle_alpha 90.00
_cell_angle_beta 90.00
_cell_angle_gamma 90.00
_symmetry_space_group_name_H-M 'I -4 2 d'
_symmetry_Int_Tables_number 122
_symmetry_space_group_name_Hall 'I -4 2bw'
loop_
_atom_site_label
_atom_site_fract_x
_atom_site_fract_y
_atom_site_fract_z
La1 0.000 0.000 0.000
Bi1 0.221 0.250 0.125
Br1 0.000 0.000 0.500